(1)
The following is a PBE-GGA calculation of a geometry-optimized TmThCu10 structure, from Alexandria.

Calculated values
M_tot in μB/atom: 0.00
DFT formation energy in eV per formula unit: -2.00
D(E_F) in states/eV/f.u.: 8.5

abc: 4.102 5.066 8.704
angles: 90.00 90.00 90.00
Space group Pmmm (No. 47)
Asymmetric unit:
Tm1 0.000 0.000 0.000 (multiplicity 1)
Th1 0.000 0.500 0.500 (multiplicity 1)
Cu1 0.000 0.000 0.326 (multiplicity 2)
Cu2 0.000 0.500 0.161 (multiplicity 2)
Cu3 0.500 0.000 0.500 (multiplicity 1)
Cu4 0.500 0.249 0.247 (multiplicity 4)
Cu5 0.500 0.500 0.000 (multiplicity 1)

(2)
The following is a PBE-GGA calculation of a geometry-optimized TlInN2 structure, from Alexandria.

Calculated values
M_tot in μB/atom: 0.15
ΔE_f (raw) in eV/atom: 1.537
D(E_F) in states/eV/f.u.: 2.4

abc: 6.121 6.121 6.121
angles: 90.00 90.00 90.00
Space group Fm-3m (No. 225)
Asymmetric unit:
Tl1 0.000 0.000 0.000 (multiplicity 4)
In1 0.000 0.000 0.500 (multiplicity 4)
N1 0.250 0.250 0.250 (multiplicity 8)

(3)
The following is a PBE-GGA calculation of a geometry-optimized CuP2Ir structure, from Alexandria.

Calculated values
M_tot in μB/atom: 0.00
DFT formation energy in eV per formula unit: 1.22
D(E_F) in states/eV/f.u.: 2.8

abc: 2.738 4.751 9.388
angles: 90.00 90.00 90.00
Space group Cmm2 (No. 35)
Asymmetric unit:
Cu1 0.000 0.000 0.000 (multiplicity 2)
P1 0.000 0.000 0.451 (multiplicity 2)
P2 0.000 0.500 0.793 (multiplicity 2)
Ir1 0.000 0.500 0.243 (multiplicity 2)